{"formula": "Ti2CrO", "functional": "PBE with a Hubbard U", "state": "relaxed", "cell": [[2.874, 0.000, 0.000], [1.437, 2.489, 0.000], [1.437, 0.830, 8.049]], "species": ["Cr", "Ti", "Ti", "O"], "fractional_positions": [[0.000, 0.000, 0.000], [0.110, 0.110, 0.669], [0.890, 0.890, 0.331], [0.500, 0.500, 0.500]], "total_energy_ev_per_cell": -31.2, "m_tot_mub_per_fu": 3.9}